Record 1
## CrPBr2 (PBE)

Data for a relaxed CrPBr2 crystal.

Properties
Size of the total moment ... 5.08 Bohr magnetons per cell
Distance to the lowest polymorph of the same formula ... 3.052 eV/f.u.
Calculated total energy ... -4.211 eV per atom
Density of states at the Fermi level ... 0.38 states/eV/atom
Energy relative to the elements, uncorrected ... 384.1 meV/atom

Lattice parameters (Å, degrees): 3.565 3.565 10.778 90.00 90.00 121.81
Atoms (fractional coordinates):
Cr 0.000 0.000 0.000
P 0.000 0.000 0.500
Br 0.500 0.500 0.165
Br 0.500 0.500 0.835

=====

Record 2
## Na4Pu2O9 (PBE)

Data for a relaxed Na4Pu2O9 crystal.

Properties
Size of the total moment ... 4.00 Bohr magnetons per cell
Calculated total energy ... -7.296 eV per atom
Energy relative to the elements, uncorrected ... -2058.3 meV/atom

Lattice parameters (Å, degrees): 5.771 5.771 15.627 90.03 90.03 59.97
Atoms (fractional coordinates):
Na 0.166 0.167 0.019
Na 0.166 0.167 0.310
Na 0.167 0.166 0.519
Na 0.167 0.166 0.810
Na 0.833 0.834 0.190
Na 0.833 0.834 0.481
Na 0.834 0.833 0.690
Na 0.834 0.833 0.981
Pu 0.499 0.501 0.152
Pu 0.499 0.501 0.348
Pu 0.501 0.499 0.652
Pu 0.501 0.499 0.848
O 0.196 0.777 0.091
O 0.197 0.527 0.591
O 0.223 0.804 0.409
O 0.224 0.472 0.909
O 0.235 0.501 0.250
O 0.236 0.764 0.750
O 0.472 0.224 0.409
O 0.473 0.803 0.909
O 0.499 0.765 0.250
O 0.501 0.235 0.750
O 0.527 0.197 0.091
O 0.528 0.776 0.591
O 0.764 0.236 0.250
O 0.765 0.499 0.750
O 0.776 0.528 0.091
O 0.777 0.196 0.591
O 0.803 0.473 0.409
O 0.804 0.223 0.909

=====

Record 3
## Tb8SmEr2 (PBE)

Data for a relaxed Tb8SmEr2 crystal.

Properties
Size of the total moment ... 0.00 Bohr magnetons per cell
Distance to the lowest polymorph of the same formula ... 0.438 eV/f.u.
Calculated total energy ... -4.472 eV per atom
E_form ... 0.15 eV/atom
Density of states at the Fermi level ... 1.49 states/eV/atom

Lattice parameters (Å, degrees): 9.354 9.354 5.895 106.10 106.10 122.29
Atoms (fractional coordinates):
Tb 0.098 0.341 0.688
Tb 0.205 0.795 0.000
Tb 0.341 0.098 0.688
Tb 0.435 0.435 0.208
Tb 0.565 0.565 0.792
Tb 0.659 0.902 0.312
Tb 0.795 0.205 0.000
Tb 0.902 0.659 0.312
Sm 0.000 0.000 0.000
Er 0.310 0.690 0.500
Er 0.690 0.310 0.500